## YGe2Au2 (PBE)

Data for YGe2Au2 after structural relaxation.

Results
* spin magnetization: 0.072 μB/atom
* ΔE_f: -0.27 eV/atom
* SG: P4/mbm, No. 127

Cell lengths 7.6985, 7.6985, 3.4189 Å; angles 90.00, 90.00, 90.00 degrees
Fractional positions:
Au (0.8394, 0.3394, 0.5000)
Au (0.3394, 0.1606, 0.5000)
Au (0.1606, 0.6606, 0.5000)
Au (0.6606, 0.8394, 0.5000)
Ge (0.6383, 0.1383, 0.0000)
Ge (0.1383, 0.3617, 0.0000)
Ge (0.8617, 0.6383, 0.0000)
Ge (0.3617, 0.8617, 0.0000)
Y (0.5000, 0.5000, 0.0000)
Y (0.0000, 0.0000, 0.0000)

***

## ZrTeAsN2 (PBE)

Data for ZrTeAsN2 after structural relaxation.

Results
* spin magnetization: 0.064 μB/atom
* energy relative to the elements, uncorrected: 2.85 eV per formula unit
* SG: P4/mmm, No. 123
* excess energy over the best structure of this formula in the dataset: 0 meV/atom

Cell lengths 4.1603, 4.1603, 6.1672 Å; angles 90.00, 90.00, 90.00 degrees
Fractional positions:
As (0.5000, 0.5000, 0.5000)
N (0.5000, 0.0000, 0.0000)
N (0.0000, 0.5000, 0.0000)
Zr (0.0000, 0.0000, 0.0000)
Te (0.0000, 0.0000, 0.5000)

***

## Nd2Sm8Al (PBE)

Data for Nd2Sm8Al after structural relaxation.

Results
* spin magnetization: 0.000 μB/atom
* ΔE_f: 0.04 eV/atom
* SG: C2/m, No. 12

Cell lengths 5.3852, 8.0885, 9.2812 Å; angles 110.63, 106.86, 90.00 degrees
Fractional positions:
Al (0.5000, 0.0000, 0.0000)
Sm (0.9795, 0.2235, 0.9590)
Sm (0.3362, 0.0794, 0.6724)
Sm (0.1728, 0.2220, 0.3456)
Sm (0.8272, 0.7780, 0.6544)
Sm (0.5938, 0.4207, 0.1876)
Sm (0.4062, 0.5793, 0.8124)
Sm (0.0205, 0.7765, 0.0410)
Sm (0.6638, 0.9206, 0.3276)
Nd (0.8093, 0.3468, 0.6185)
Nd (0.1907, 0.6532, 0.3815)

***

## ScNb2IrF (PBE)

Data for ScNb2IrF after structural relaxation.

Results
* spin magnetization: 0.309 μB/atom
* energy relative to the elements, uncorrected: 2.12 eV per formula unit
* SG: P4/mmm, No. 123

Cell lengths 4.8748, 5.2027, 4.8748 Å; angles 90.00, 90.00, 90.00 degrees
Fractional positions:
Nb (0.0000, 0.0000, 0.5000)
Nb (0.5000, 0.0000, 0.0000)
F (0.5000, 0.5000, 0.5000)
Sc (0.0000, 0.5000, 0.0000)
Ir (0.0000, 0.0000, 0.0000)

***

## LaTh2Si2Rh7 (PBE)

Data for LaTh2Si2Rh7 after structural relaxation.

Results
* spin magnetization: 0.000 μB/atom
* energy relative to the elements, uncorrected: -10.31 eV per formula unit
* SG: C2/m, No. 12

Cell lengths 4.1252, 4.1252, 13.2205 Å; angles 84.36, 84.36, 89.27 degrees
Fractional positions:
Rh (0.3488, 0.3488, 0.4330)
Rh (0.6512, 0.6512, 0.5670)
Rh (0.4498, 0.9491, 0.1695)
Rh (0.5000, 0.5000, 0.0000)
Rh (0.9491, 0.4498, 0.1695)
Rh (0.5502, 0.0509, 0.8305)
Rh (0.0509, 0.5502, 0.8305)
Th (0.9021, 0.9021, 0.3500)
Th (0.0979, 0.0979, 0.6500)
Si (0.4232, 0.4232, 0.2551)
Si (0.5768, 0.5768, 0.7449)
La (0.0000, 0.0000, 0.0000)

***

## Sr2Cu2Au15 (PBE)

Data for Sr2Cu2Au15 after structural relaxation.

Results
* spin magnetization: 0.000 μB/atom
* ΔE_f: -0.23 eV/atom
* SG: R-3m, No. 166

Cell lengths 7.3471, 7.3471, 7.3471 Å; angles 81.97, 81.97, 81.97 degrees
Fractional positions:
Sr (0.3377, 0.3377, 0.3377)
Sr (0.6623, 0.6623, 0.6623)
Au (0.3492, 0.8481, 0.3492)
Au (0.8481, 0.3492, 0.3492)
Au (0.3492, 0.3492, 0.8481)
Au (0.6508, 0.6508, 0.1519)
Au (0.2973, 0.7027, 0.0000)
Au (0.0000, 0.7027, 0.2973)
Au (0.5000, 0.0000, 0.0000)
Au (0.0000, 0.2973, 0.7027)
Au (0.0000, 0.5000, 0.0000)
Au (0.7027, 0.0000, 0.2973)
Au (0.0000, 0.0000, 0.5000)
Au (0.1519, 0.6508, 0.6508)
Au (0.2973, 0.0000, 0.7027)
Au (0.7027, 0.2973, 0.0000)
Au (0.6508, 0.1519, 0.6508)
Cu (0.9125, 0.9125, 0.9125)
Cu (0.0875, 0.0875, 0.0875)